# KSbSe, relaxed, DFT GGA-PBE
# Density, Mg/m³: 3.92
# Total magnetization, Bohr magnetons per cell: 0.00
# Volume, A^3/atom: 33.825
# E_form (uncorrected), kJ/mol of atoms: 23.39
# Uncorrected energy, eV per atom: -2.659
# Energy above the most stable polymorph in this dataset, eV/atom: 0.931
data_KSbSe
_chemical_formula_sum 'K4 Sb4 Se4'
_symmetry_space_group_name_H-M 'F -4 3 m'
_symmetry_Int_Tables_number 216
_symmetry_space_group_name_Hall 'F -4 2 3'
_cell_length_a 7.4041
_cell_length_b 7.4041
_cell_length_c 7.4041
_cell_angle_alpha 90.00
_cell_angle_beta 90.00
_cell_angle_gamma 90.00
loop_
_atom_site_label
_atom_site_fract_x
_atom_site_fract_y
_atom_site_fract_z
_atom_site_occupancy
K1 0.0000 0.0000 0.0000 1
Sb1 0.2500 0.2500 0.2500 1
Se1 0.2500 0.2500 0.7500 1

***

# CoHgPb2, relaxed, DFT GGA-PBE
# Density, Mg/m³: 11.79
# Total magnetization, Bohr magnetons per cell: 3.32
# Volume, A^3/atom: 23.725
# Uncorrected energy, eV per atom: -3.166
# Energy of formation, eV/atom: 0.54
data_CoHgPb2
_chemical_formula_sum 'Co2 Hg2 Pb4'
_symmetry_space_group_name_H-M 'I -4 m 2'
_symmetry_Int_Tables_number 119
_symmetry_space_group_name_Hall 'I -4 -2'
_cell_length_a 4.4042
_cell_length_b 4.4042
_cell_length_c 9.7849
_cell_angle_alpha 90.00
_cell_angle_beta 90.00
_cell_angle_gamma 90.00
loop_
_atom_site_label
_atom_site_fract_x
_atom_site_fract_y
_atom_site_fract_z
_atom_site_occupancy
Co1 0.0000 0.0000 0.0000 1
Hg1 0.0000 0.5000 0.7500 1
Pb1 0.0000 0.0000 0.5000 1
Pb2 0.0000 0.5000 0.2500 1

***

# Ac2Dy3Y4, relaxed, DFT GGA-PBE
# Density, Mg/m³: 6.74
# Total magnetization, Bohr magnetons per cell: 0.00
# Volume, A^3/atom: 35.516
# Uncorrected energy, eV per atom: -5.141
# Energy of formation, eV/atom: 0.18
data_Ac2Dy3Y4
_chemical_formula_sum 'Ac8 Dy12 Y16'
_symmetry_space_group_name_H-M 'F m m m'
_symmetry_Int_Tables_number 69
_symmetry_space_group_name_Hall '-F 2 2'
_cell_length_a 6.2148
_cell_length_b 12.4969
_cell_length_c 16.4626
_cell_angle_alpha 90.00
_cell_angle_beta 90.00
_cell_angle_gamma 90.00
loop_
_atom_site_label
_atom_site_fract_x
_atom_site_fract_y
_atom_site_fract_z
_atom_site_occupancy
Ac1 0.0000 0.0000 0.1152 1
Dy1 0.0000 0.0000 0.5000 1
Dy2 0.2500 0.2500 0.0000 1
Y1 0.0000 0.1459 0.3132 1

***

# ZrNb2W, relaxed, DFT GGA-PBE
# Density, Mg/m³: 10.21
# Total magnetization, Bohr magnetons per cell: 0.00
# Volume, A^3/atom: 18.731
# Uncorrected energy, eV per atom: -10.374
# Energy of formation, eV/atom: 0.04
# Energy above the most stable polymorph in this dataset, eV/atom: 0.000
data_ZrNb2W
_chemical_formula_sum 'Zr1 Nb2 W1'
_symmetry_space_group_name_H-M 'P 4/m m m'
_symmetry_Int_Tables_number 123
_symmetry_space_group_name_Hall '-P 4 2'
_cell_length_a 3.2786
_cell_length_b 3.2786
_cell_length_c 6.9702
_cell_angle_alpha 90.00
_cell_angle_beta 90.00
_cell_angle_gamma 90.00
loop_
_atom_site_label
_atom_site_fract_x
_atom_site_fract_y
_atom_site_fract_z
_atom_site_occupancy
Zr1 0.0000 0.0000 0.0000 1
Nb1 0.5000 0.5000 0.2747 1
W1 0.0000 0.0000 0.5000 1

***

# KCuTc2, relaxed, DFT GGA-PBE
# Density, Mg/m³: 7.14
# Total magnetization, Bohr magnetons per cell: 0.00
# Volume, A^3/atom: 17.355
# Uncorrected energy, eV per atom: -5.312
# Energy of formation, eV/atom: 1.17
# Energy above the most stable polymorph in this dataset, eV/atom: 0.583
data_KCuTc2
_chemical_formula_sum 'K2 Cu2 Tc4'
_symmetry_space_group_name_H-M 'C m m m'
_symmetry_Int_Tables_number 65
_symmetry_space_group_name_Hall '-C 2 2'
_cell_length_a 5.3209
_cell_length_b 10.3793
_cell_length_c 2.5140
_cell_angle_alpha 90.00
_cell_angle_beta 90.00
_cell_angle_gamma 90.00
loop_
_atom_site_label
_atom_site_fract_x
_atom_site_fract_y
_atom_site_fract_z
_atom_site_occupancy
K1 0.0000 0.0000 0.0000 1
Cu1 0.0000 0.5000 0.0000 1
Tc1 0.2500 0.2500 0.5000 1

***

# TcS4I, relaxed, DFT GGA-PBE
# Density, Mg/m³: 3.02
# Total magnetization, Bohr magnetons per cell: 0.95
# Volume, A^3/atom: 32.324
# E_form (uncorrected), kJ/mol of atoms: -8.00
# Uncorrected energy, eV per atom: -4.821
data_TcS4I
_chemical_formula_sum 'Tc2 S8 I2'
_symmetry_space_group_name_H-M 'P -1'
_symmetry_Int_Tables_number 2
_cell_length_a 5.8119
_cell_length_b 8.3482
_cell_length_c 8.6518
_cell_angle_alpha 78.57
_cell_angle_beta 74.71
_cell_angle_gamma 75.38
loop_
_symmetry_equiv_pos_as_xyz
'x,y,z'
'-x,-y,-z'
loop_
_atom_site_label
_atom_site_fract_x
_atom_site_fract_y
_atom_site_fract_z
_atom_site_occupancy
Tc1 0.2499 0.0135 0.4878 1
S1 0.0325 0.0737 0.2805 1
S2 0.1719 0.2743 0.5878 1
S3 0.3443 0.8884 0.2458 1
S4 0.4846 0.2224 0.4099 1
I1 0.2339 0.5121 0.0300 1

***

# AgBH2, relaxed, DFT GGA-PBE
# Density, Mg/m³: 5.86
# Total magnetization, Bohr magnetons per cell: 0.00
# Volume, A^3/atom: 8.550
# Uncorrected energy, eV per atom: -2.570
# Energy above the most stable polymorph in this dataset, eV/atom: 0.679
data_AgBH2
_chemical_formula_sum 'Ag4 B4 H8'
_symmetry_space_group_name_H-M 'F m -3 m'
_symmetry_Int_Tables_number 225
_symmetry_space_group_name_Hall '-F 4 2 3'
_cell_length_a 5.1527
_cell_length_b 5.1527
_cell_length_c 5.1527
_cell_angle_alpha 90.00
_cell_angle_beta 90.00
_cell_angle_gamma 90.00
loop_
_atom_site_label
_atom_site_fract_x
_atom_site_fract_y
_atom_site_fract_z
_atom_site_occupancy
Ag1 0.0000 0.0000 0.0000 1
B1 0.0000 0.0000 0.5000 1
H1 0.2500 0.2500 0.2500 1

***

# MgSiTc2, relaxed, DFT GGA-PBE
# Density, Mg/m³: 6.26
# Total magnetization, Bohr magnetons per cell: 0.00
# Volume, A^3/atom: 16.461
# E_form (uncorrected), kJ/mol of atoms: 30.67
# Uncorrected energy, eV per atom: -6.619
# Energy above the most stable polymorph in this dataset, eV/atom: 0.435
data_MgSiTc2
_chemical_formula_sum 'Mg4 Si4 Tc8'
_symmetry_space_group_name_H-M 'I -4 2 d'
_symmetry_Int_Tables_number 122
_symmetry_space_group_name_Hall 'I -4 2bw'
_cell_length_a 7.1900
_cell_length_b 7.1900
_cell_length_c 5.0948
_cell_angle_alpha 90.00
_cell_angle_beta 90.00
_cell_angle_gamma 90.00
loop_
_atom_site_label
_atom_site_fract_x
_atom_site_fract_y
_atom_site_fract_z
_atom_site_occupancy
Mg1 0.0000 0.0000 0.0000 1
Si1 0.0000 0.0000 0.5000 1
Tc1 0.1897 0.2500 0.6250 1

***

# Ca3SbP, relaxed, DFT GGA-PBE
# Density, Mg/m³: 3.12
# Total magnetization, Bohr magnetons per cell: 0.00
# Volume, A^3/atom: 29.096
# E_form (uncorrected), kJ/mol of atoms: -104.28
# Uncorrected energy, eV per atom: -4.188
# Energy above the most stable polymorph in this dataset, eV/atom: 0.013
data_Ca3SbP
_chemical_formula_sum 'Ca6 Sb2 P2'
_symmetry_space_group_name_H-M 'P m m n'
_symmetry_Int_Tables_number 59
_cell_length_a 4.5247
_cell_length_b 7.1287
_cell_length_c 9.0205
_cell_angle_alpha 90.00
_cell_angle_beta 90.00
_cell_angle_gamma 90.00
loop_
_symmetry_equiv_pos_as_xyz
'x,y,z'
'-x,-y,-z'
'-x+1/2,-y+1/2,z'
'x+1/2,y+1/2,-z'
'x+1/2,-y,-z'
'-x+1/2,y,z'
'-x,y+1/2,-z'
'x,-y+1/2,z'
loop_
_atom_site_label
_atom_site_fract_x
_atom_site_fract_y
_atom_site_fract_z
_atom_site_occupancy
Ca1 0.2500 0.0092 0.1590 1
Ca2 0.2500 0.2500 0.5740 1
Sb1 0.2500 0.7500 0.6523 1
P1 0.2500 0.2500 0.8945 1

***

# TlAgOs2, relaxed, DFT GGA-PBE
# Density, Mg/m³: 16.76
# Total magnetization, Bohr magnetons per cell: 1.21
# Volume, A^3/atom: 17.162
# Uncorrected energy, eV per atom: -5.669
# Energy of formation, eV/atom: 1.25
# Energy above the most stable polymorph in this dataset, eV/atom: 0.737
data_TlAgOs2
_chemical_formula_sum 'Tl1 Ag1 Os2'
_symmetry_space_group_name_H-M 'P 4/m m m'
_symmetry_Int_Tables_number 123
_symmetry_space_group_name_Hall '-P 4 2'
_cell_length_a 2.8533
_cell_length_b 2.8533
_cell_length_c 8.4322
_cell_angle_alpha 90.00
_cell_angle_beta 90.00
_cell_angle_gamma 90.00
loop_
_atom_site_label
_atom_site_fract_x
_atom_site_fract_y
_atom_site_fract_z
_atom_site_occupancy
Tl1 0.0000 0.0000 0.0000 1
Ag1 0.0000 0.0000 0.5000 1
Os1 0.5000 0.5000 0.2603 1